Density functional theory data (GGA-PBE) for a geometry-optimized TlAgGeHSe structure.

a b c (Å): 4.084 5.301 5.611
angles (deg): 108.51 89.99 89.99
Fractional positions:
H 0.130 0.643 0.501
Ag 0.630 0.238 0.749
Tl 0.630 0.759 0.209
Ge 0.130 0.339 0.501
Se 0.130 0.129 0.042

- offset from the most stable computed form (meV per atom) = 0.0

=====

Density functional theory data (GGA-PBE) for a geometry-optimized Mn3TcH8 structure.

a b c (Å): 5.210 5.210 5.210
angles (deg): 132.25 132.25 69.84
Fractional positions:
H 0.379 0.874 0.000
H 0.874 0.874 0.495
H 0.126 0.126 0.505
H 0.621 0.621 0.495
H 0.126 0.621 0.000
H 0.379 0.379 0.505
H 0.621 0.126 0.000
H 0.874 0.379 0.000
Mn 0.500 0.500 0.000
Mn 0.750 0.250 0.500
Mn 0.250 0.750 0.500
Tc 0.000 0.000 0.000

- total DFT energy (no corrections) (eV per atom) = -5.366

=====

Density functional theory data (GGA-PBE) for a geometry-optimized BaNa2AlI structure.

a b c (Å): 7.280 6.436 7.280
angles (deg): 90.00 90.00 90.00
Fractional positions:
Na 0.000 0.000 0.500
Na 0.500 0.000 0.000
Ba 0.000 0.000 0.000
I 0.000 0.500 0.000
Al 0.500 0.500 0.500

- ΔE_f (raw) (meV/atom) = 386

=====

Calculated volume, 115.2; 76.0; 341.1 Å³/cell (same order as the records).
Calculated M_tot, 0.0; 9.2; 0.0 μB per formula unit (same order as the records).